Entry 1:
Below is a relaxed structure of PuPaPdS4, with properties calculated at the PBE level.

```
PuPaPdS4
1.0
6.4496 0.0000 0.1534
0.0000 6.1862 0.0000
-2.3186 0.0000 7.2321
S Pa Pd Pu
8 2 2 2
Cartesian
-1.5249 3.2173 5.4132
1.4202 1.5465 6.4604
2.7107 4.6396 0.9251
5.6559 0.1242 1.9723
5.6559 2.9688 1.9723
2.5861 1.5465 2.7930
1.5449 4.6396 4.5925
-1.5249 6.0619 5.4132
3.8908 4.6396 3.3136
0.2402 1.5465 4.0719
3.3473 1.5465 5.0226
0.7837 4.6396 2.3629
1.3145 1.5465 0.4046
2.8165 4.6396 6.9809
```

For the formation energy (no corrections), the calculation gives -862 kJ/mol of formula units.

Entry 2:
Below is a relaxed structure of Pu2PaPdS4, with properties calculated at the PBE level.

```
Pu2PaPdS4
1.0
6.6887 0.0000 0.0000
3.3444 4.8258 0.0000
3.3444 0.0000 4.8258
S Pd Pu Pa
4 1 2 1
Cartesian
1.9194 2.0242 0.0000
8.1136 0.0000 2.8016
5.2638 2.8016 0.0000
4.7693 0.0000 2.0242
3.3444 0.0000 0.0000
6.6887 2.4129 2.4129
3.3444 2.4129 2.4129
0.0000 0.0000 0.0000
```

For the formation energy (no corrections), the calculation gives -1000 kJ/mol of formula units.

Entry 3:
Below is a relaxed structure of PuPaSbPd, with properties calculated at the PBE level.

```
PuPaSbPd
1.0
-5.0965 -0.8534 -0.2081
-1.8811 -4.6972 1.0698
-2.6705 -0.7849 4.3587
Pd Pa Sb Pu
1 1 1 1
Cartesian
-7.2361 -4.7516 3.9153
0.0000 0.0000 0.0000
-2.4120 -1.5839 1.3051
-4.8241 -3.1677 2.6102
```

For the formation energy (no corrections), the calculation gives -131 kJ/mol of formula units.

Entry 4:
Below is a relaxed structure of Pu2PaSb2Pd2, with properties calculated at the PBE level.

```
Pu2PaSb2Pd2
1.0
4.7501 0.0000 0.0000
2.3750 4.1137 0.0000
2.3750 1.3712 8.3005
Pu Pd Sb Pa
2 2 2 1
Cartesian
7.1251 4.1137 3.4731
2.3750 1.3712 4.8274
4.7501 2.7425 5.7501
4.7501 2.7425 2.5504
7.1251 4.1137 6.6949
2.3750 1.3712 1.6056
0.0000 0.0000 0.0000
```

For the formation energy (no corrections), the calculation gives -333 kJ/mol of formula units.

Entry 5:
Below is a relaxed structure of Pu2Pa2Si4Pd, with properties calculated at the PBE level.

```
Pu2Pa2Si4Pd
1.0
6.3364 0.1799 0.2597
-2.8838 5.6450 -0.2597
-2.8838 -2.2264 5.1939
Si Pu Pd Pa
4 2 1 2
Cartesian
-2.8838 -0.2915 3.8534
-1.1285 2.6697 3.8534
-2.8838 3.7101 1.0809
1.6974 0.9288 1.3406
-3.8819 2.3009 3.3211
-1.8856 1.1177 1.6132
0.0000 0.0000 0.0000
0.2844 -0.1686 3.9604
0.2844 3.7671 1.2336
```

For the formation energy (no corrections), the calculation gives -153 kJ/mol of formula units.

Entry 6:
Below is a relaxed structure of PuPaSiPd, with properties calculated at the PBE level.

```
PuPaSiPd
1.0
4.9587 0.0000 0.0000
2.4794 4.2944 0.0000
2.4794 1.4315 4.0488
Pa Pd Pu Si
1 1 1 1
Cartesian
0.0000 0.0000 0.0000
2.4794 1.4315 1.0122
4.9587 2.8629 2.0244
7.4381 4.2944 3.0366
```

For the formation energy (no corrections), the calculation gives -111 kJ/mol of formula units.

Entry 7:
Below is a relaxed structure of Pu2PaSn2Pd2, with properties calculated at the PBE level.

```
Pu2PaSn2Pd2
1.0
4.8783 0.0000 0.0000
2.4391 4.2247 0.0000
2.4391 1.4082 7.9619
Pd Sn Pu Pa
2 2 2 1
Cartesian
4.8783 2.8165 6.5836
4.8783 2.8165 1.3782
2.4391 1.4082 1.6248
7.3174 4.2247 6.3371
7.3174 4.2247 3.0428
2.4391 1.4082 4.9190
0.0000 0.0000 0.0000
```

Its formation energy is -0.4464 eV/atom.

Entry 8:
Below is a relaxed structure of PuPaSnPd, with properties calculated at the PBE level.

```
PuPaSnPd
1.0
-2.5705 4.0195 -1.5762
-0.2460 1.0597 -4.9056
-4.3252 -0.6002 -2.4862
Sn Pd Pu Pa
1 1 1 1
Cartesian
-1.7854 1.1198 -2.2420
0.0000 0.0000 0.0000
-3.5708 2.2395 -4.4840
-5.3563 3.3593 -6.7260
```

Its formation energy is -0.2608 eV/atom.